Here is a relaxed structure of V4O7 from Alexandria. Energies are from GGA+U.

Structure (CIF):
```
data_V4O7
_space_group_name_H-M_alt 'P 1'
_space_group_IT_number 1
_space_group_name_Hall 'P 1'
_cell_length_a 5.610
_cell_length_b 6.766
_cell_length_c 7.806
_cell_angle_alpha 64.33
_cell_angle_beta 84.77
_cell_angle_gamma 85.67
loop_
_atom_site_label
_atom_site_type_symbol
_atom_site_fract_x
_atom_site_fract_y
_atom_site_fract_z
O1 O 0.816 0.643 0.373
O2 O 0.043 0.213 0.371
O3 O 0.604 0.038 0.338
O4 O 0.898 0.310 0.954
O5 O 0.506 0.500 0.807
O6 O 0.494 0.500 0.193
O7 O 0.298 0.745 0.358
O8 O 0.396 0.119 0.057
O9 O 0.604 0.881 0.943
O10 O 0.102 0.690 0.046
O11 O 0.396 0.962 0.662
O12 O 0.702 0.255 0.642
O13 O 0.184 0.357 0.627
O14 O 0.957 0.787 0.629
V1 V 0.611 0.302 0.087
V2 V 0.408 0.211 0.789
V3 V 0.862 0.479 0.689
V4 V 0.592 0.789 0.211
V5 V 0.389 0.698 0.913
V6 V 0.138 0.521 0.311
V7 V 0.758 0.035 0.548
V8 V 0.242 0.965 0.452
```

Results
- size of the total moment (Bohr magnetons per cell) = 12.00
- E_tot (eV per atom) = -7.71